Below is Cd2FePd8 after structural relaxation, with properties calculated at the PBE level.

Calculated values
- V (Å³ per atom) = 16.5
- spin magnetization (μB per formula unit) = 4.5
- symmetry = Immm (71)
- energy of formation from the pure elements (meV per atom) = -112.9

abc: 7.664 7.664 7.664
angles: 145.61 133.80 58.84
Fractional coordinates of all 11 atoms:
1 Cd 0.190 0.190 0.000
2 Cd 0.810 0.810 0.000
3 Fe 0.500 0.500 0.000
4 Pd 0.095 0.362 0.732
5 Pd 0.243 0.000 0.243
6 Pd 0.327 0.827 0.500
7 Pd 0.370 0.638 0.732
8 Pd 0.630 0.362 0.268
9 Pd 0.673 0.173 0.500
10 Pd 0.757 0.000 0.757
11 Pd 0.905 0.638 0.268


Below is V3CoAs after structural relaxation, with properties calculated at the PBE level.

Calculated values
- V (Å³ per atom) = 17.6
- spin magnetization (μB per formula unit) = 3.1
- symmetry = Pm-3m (221)
- relative energy among the computed polymorphs (eV/f.u.) = 2.02
- energy of formation from the pure elements (meV per atom) = 1011.6

abc: 4.450 4.450 4.450
angles: 90.00 90.00 90.00
Fractional coordinates of all 5 atoms:
1 V 0.000 0.000 0.500
2 V 0.000 0.500 0.000
3 V 0.500 0.000 0.000
4 Co 0.500 0.500 0.500
5 As 0.000 0.000 0.000


> What is the spin magnetization in the second record?

3.1 μB per formula unit


> Among the records above, which one has the lowest V?

Cd2FePd8


> Which formula does entry 1 have?

Cd2FePd8